[1]
Compound: La12Sm6Mg
Source: the Alexandria database
Functional: PBE
Structure: optimized geometry

The space group is R-3m (No. 166, hexagonal axes) and the conventional cell measures 13.5737, 13.5737 and 12.9304 Å, with angles of 90.00, 90.00 and 120.00 degrees. The inequivalent atoms are La at (0.0000, 0.2612, 0.0000), La at (0.0571, 0.5286, 0.1102), Sm at (0.0893, 0.1786, 0.7717) and Mg at (0.0000, 0.0000, 0.0000).

Its energy relative to the elements is 115.4 meV/atom. The spin magnetization comes out at 0.00 μB/cell.



[2]
Compound: SrVH
Source: the Alexandria database
Functional: PBE
Structure: optimized geometry

The space group is F-43m (No. 216) and the conventional cell measures 6.917, 6.917 and 6.917 Å, with angles of 90.00, 90.00 and 90.00 degrees. The inequivalent atoms are Sr at (0.000, 0.000, 0.000), V at (0.250, 0.250, 0.250) and H at (0.000, 0.000, 0.500).

The spin magnetization comes out at 21.43 μB/cell. The calculation puts the offset from the most stable computed form at 1.366 eV per atom.



[3]
Compound: Th4AlFe
Source: the Alexandria database
Functional: PBE
Structure: optimized geometry

The space group is P4/mcc (No. 124) and the conventional cell measures 7.293, 7.293 and 5.882 Å, with angles of 90.00, 90.00 and 90.00 degrees. The inequivalent atoms are Th at (0.146, 0.319, 0.000), Al at (0.500, 0.500, 0.250) and Fe at (0.000, 0.000, 0.250).

Its energy relative to the elements is -117.9 meV/atom. The spin magnetization comes out at 0.00 μB/cell. The calculation puts the offset from the most stable computed form at 0.000 eV per atom.



[4]
Compound: RbZrSb2P
Source: the Alexandria database
Functional: PBE
Structure: optimized geometry

The space group is P4/mmm (No. 123) and the conventional cell measures 5.313, 5.313 and 5.490 Å, with angles of 90.00, 90.00 and 90.00 degrees. The inequivalent atoms are Rb at (0.000, 0.000, 0.000), Zr at (0.500, 0.500, 0.000), Sb at (0.000, 0.500, 0.500) and P at (0.000, 0.000, 0.500).

The spin magnetization comes out at 1.82 μB/cell. For the uncorrected formation energy, the calculation gives 18.1 kcal/mol of atoms.



[5]
Compound: Tb2Pr3Se8
Source: the Alexandria database
Functional: PBE
Structure: optimized geometry

The space group is C2/m (No. 12) and the conventional cell measures 14.629, 8.481 and 7.204 Å, with angles of 90.00, 110.30 and 90.00 degrees. The inequivalent atoms are Tb at (0.241, 0.000, 0.158), Pr at (0.000, 0.237, 0.500), Pr at (0.000, 0.500, 0.000), Se at (0.119, 0.000, 0.390), Se at (0.123, 0.500, 0.435) and Se at (0.128, 0.263, 0.919).

The spin magnetization comes out at 0.00 μB/cell. For the uncorrected formation energy, the calculation gives -38.4 kcal/mol of atoms.



[6]
Compound: Cs2PdAuF
Source: the Alexandria database
Functional: PBE
Structure: optimized geometry

The space group is P4/mmm (No. 123) and the conventional cell measures 6.860, 6.860 and 4.356 Å, with angles of 90.00, 90.00 and 90.00 degrees. The inequivalent atoms are Cs at (0.000, 0.500, 0.000), Pd at (0.000, 0.000, 0.500), Au at (0.500, 0.500, 0.000) and F at (0.500, 0.500, 0.500).

The spin magnetization comes out at 0.00 μB/cell. For the uncorrected formation energy, the calculation gives -5.8 kcal/mol of atoms.



[7]
Compound: YSe
Source: the Alexandria database
Functional: PBE
Structure: optimized geometry

The space group is Imm2 (No. 44) and the conventional cell measures 3.964, 13.783 and 5.725 Å, with angles of 90.00, 90.00 and 90.00 degrees. The inequivalent atoms are Y at (0.000, 0.000, 0.000), Y at (0.000, 0.300, 0.883), Se at (0.000, 0.347, 0.374) and Se at (0.000, 0.500, 0.868).

The spin magnetization comes out at 0.00 μB/cell. For the uncorrected formation energy, the calculation gives -36.6 kcal/mol of atoms.



[8]
Compound: Pm2CoNi3Sb4
Source: the Alexandria database
Functional: PBE
Structure: optimized geometry

The space group is P-4m2 (No. 115) and the conventional cell measures 4.448, 4.448 and 10.084 Å, with angles of 90.00, 90.00 and 90.00 degrees. The inequivalent atoms are Pm at (0.000, 0.500, 0.238), Co at (0.500, 0.500, 0.000), Ni at (0.000, 0.000, 0.000), Ni at (0.000, 0.500, 0.625), Sb at (0.000, 0.000, 0.500), Sb at (0.000, 0.500, 0.873) and Sb at (0.500, 0.500, 0.500).

The spin magnetization comes out at 0.94 μB/cell. For the uncorrected formation energy, the calculation gives -13.4 kcal/mol of atoms.



> Which value of spin magnetization does entry 8 give?

0.94 μB/cell



> spin magnetization of number 6 (Cs2PdAuF)?

0.00 μB/cell



> Look up the spin magnetization of the seventh one.

0.00 μB/cell



Please write out number 8 again, unchanged.
Compound: Pm2CoNi3Sb4
Source: the Alexandria database
Functional: PBE
Structure: optimized geometry

The space group is P-4m2 (No. 115) and the conventional cell measures 4.448, 4.448 and 10.084 Å, with angles of 90.00, 90.00 and 90.00 degrees. The inequivalent atoms are Pm at (0.000, 0.500, 0.238), Co at (0.500, 0.500, 0.000), Ni at (0.000, 0.000, 0.000), Ni at (0.000, 0.500, 0.625), Sb at (0.000, 0.000, 0.500), Sb at (0.000, 0.500, 0.873) and Sb at (0.500, 0.500, 0.500).

The spin magnetization comes out at 0.94 μB/cell. For the uncorrected formation energy, the calculation gives -13.4 kcal/mol of atoms.